First-principles (PBE-GGA) data for TbTmLu2 after structural relaxation, as listed in Alexandria.

Unit cell a=3.4901 b=3.4901 c=34.0096 alpha=90.00 beta=90.00 gamma=120.00
Space group R-3m (No. 166, hexagonal axes)
Inequivalent atoms, fractional coordinates:
Tb1 0.0000 0.0000 0.0000
Tm1 0.0000 0.0000 0.5000
Lu1 0.0000 0.0000 0.2494

Calculated values
As for the formation energy: 0.03 eV/atom. The calculated volume is 29.90 Å³ per atom. For the electronic total energy, the calculation gives -4.504 eV per atom. As for the total magnetization: 0.00 μB/cell. The energy above the most stable polymorph in this dataset comes out at 0.001 eV/atom.